Below is a PBEsol-optimized structure of ZrSc2As, with properties calculated at the SCAN level.

- Crystal system: trigonal
- ΔH_f (0 K): -187 kJ/mol of formula units

a b c (Å): 3.4742 3.4742 25.2896
angles (deg): 90.00 90.00 120.00
Space group R-3m (No. 166, hexagonal axes)
Asymmetric unit:
Zr1 0.0000 0.0000 0.0000 (multiplicity 3)
Sc1 0.0000 0.0000 0.2334 (multiplicity 6)
As1 0.0000 0.0000 0.5000 (multiplicity 3)